# Li2ScCrO4, optimized geometry, DFT PBE with a Hubbard U
data_Li2ScCrO4
_chemical_formula_sum 'Li2 Sc1 Cr1 O4'
_symmetry_space_group_name_H-M 'P 1'
_symmetry_Int_Tables_number 1
_cell_length_a 5.216
_cell_length_b 3.052
_cell_length_c 5.232
_cell_angle_alpha 90.00
_cell_angle_beta 109.54
_cell_angle_gamma 90.00
loop_
_symmetry_equiv_pos_as_xyz
'x,y,z'
loop_
_atom_site_label
_atom_site_type_symbol
_atom_site_fract_x
_atom_site_fract_y
_atom_site_fract_z
_atom_site_occupancy
Li1 Li 0.000 0.000 0.000 1
Li2 Li 0.000 0.500 0.500 1
Sc1 Sc 0.500 0.000 0.500 1
Cr1 Cr 0.500 0.500 0.000 1
O1 O 0.270 0.500 0.250 1
O2 O 0.273 0.000 0.768 1
O3 O 0.727 0.000 0.232 1
O4 O 0.730 0.500 0.750 1
# Calculated volume (Å³ per cell): 78.5
# Final energy (eV/f.u.): -57.464
# Density (g cm⁻³): 3.70